# 1
# SrPuAl2

A relaxed structure of SrPuAl2 (PBE, the Alexandria database).

Energy of formation from the pure elements, eV/atom: -0.0428

Lattice parameters (Å, degrees): 3.314 3.314 9.220 90.00 90.00 90.00
Space group P4/mmm (No. 123)
One atom of each set of equivalent atoms:
Sr (0.000, 0.000, 0.000) x1
Pu (0.000, 0.000, 0.500) x1
Al (0.500, 0.500, 0.269) x2

=====

# 2
# SrPu3Al8

A relaxed structure of SrPu3Al8 (PBE, the Alexandria database).

Energy of formation from the pure elements, eV/atom: -0.2561

Lattice parameters (Å, degrees): 5.6479 5.6479 8.9998 90.00 90.00 120.00
Space group P3m1 (No. 156)
One atom of each set of equivalent atoms:
Sr (0.0000, 0.0000, 0.0000) x1
Pu (0.0000, 0.0000, 0.3695) x1
Pu (0.6667, 0.3333, 0.5079) x1
Pu (0.6667, 0.3333, 0.8508) x1
Al (0.1625, 0.3251, 0.6765) x3
Al (0.3333, 0.6667, 0.4316) x1
Al (0.3333, 0.6667, 0.9285) x1
Al (0.5059, 0.0119, 0.1902) x3

=====

# 3
# Sr3PuAl8

A relaxed structure of Sr3PuAl8 (PBE, the Alexandria database).

Energy of formation from the pure elements, eV/atom: -0.2404

Lattice parameters (Å, degrees): 5.7724 5.7724 28.3206 90.00 90.00 120.00
Space group R3m (No. 160, hexagonal axes)
One atom of each set of equivalent atoms:
Sr (0.0000, 0.0000, 0.0000) x3
Sr (0.0000, 0.0000, 0.1258) x3
Sr (0.0000, 0.0000, 0.5019) x3
Pu (0.0000, 0.0000, 0.6255) x3
Al (0.0000, 0.0000, 0.3125) x3
Al (0.0000, 0.0000, 0.8133) x3
Al (0.0005, 0.5002, 0.5653) x9
Al (0.1687, 0.3375, 0.3946) x9

=====

# 4
# PuTaAl4

A relaxed structure of PuTaAl4 (PBE, the Alexandria database).

Energy of formation from the pure elements, eV/atom: -0.1667

Lattice parameters (Å, degrees): 7.539 7.539 7.539 90.00 90.00 90.00
Space group F-43m (No. 216)
One atom of each set of equivalent atoms:
Pu (0.000, 0.000, 0.000) x4
Ta (0.250, 0.250, 0.750) x4
Al (0.125, 0.125, 0.375) x16

=====

# 5
# PuTaAl2

A relaxed structure of PuTaAl2 (PBE, the Alexandria database).

Energy of formation from the pure elements, eV/atom: -0.0320

Lattice parameters (Å, degrees): 2.9229 2.9229 30.3554 90.00 90.00 120.00
Space group R-3m (No. 166, hexagonal axes)
One atom of each set of equivalent atoms:
Pu (0.0000, 0.0000, 0.0000) x3
Ta (0.0000, 0.0000, 0.5000) x3
Al (0.0000, 0.0000, 0.2435) x6

=====

# 6
# Tb3PuAl8

A relaxed structure of Tb3PuAl8 (PBE, the Alexandria database).

Energy of formation from the pure elements, eV/atom: -0.4596

Lattice parameters (Å, degrees): 5.5633 5.5633 27.3356 90.00 90.00 120.00
Space group R3m (No. 160, hexagonal axes)
One atom of each set of equivalent atoms:
Tb (0.0000, 0.0000, 0.0000) x3
Tb (0.0000, 0.0000, 0.1265) x3
Tb (0.0000, 0.0000, 0.6225) x3
Pu (0.0000, 0.0000, 0.4997) x3
Al (0.0000, 0.0000, 0.3124) x3
Al (0.0000, 0.0000, 0.8125) x3
Al (0.0007, 0.5004, 0.0620) x9
Al (0.0010, 0.5005, 0.5626) x9

=====

# 7
# Tb3PuAl8

A relaxed structure of Tb3PuAl8 (PBE, the Alexandria database).

Energy of formation from the pure elements, eV/atom: -0.4500

Lattice parameters (Å, degrees): 5.5758 5.5758 9.0830 90.00 90.00 120.00
Space group P3m1 (No. 156)
One atom of each set of equivalent atoms:
Tb (0.0000, 0.0000, 0.0000) x1
Tb (0.0000, 0.0000, 0.3708) x1
Tb (0.3333, 0.6667, 0.8572) x1
Pu (0.3333, 0.6667, 0.5029) x1
Al (0.0096, 0.5048, 0.1831) x3
Al (0.3240, 0.1620, 0.6838) x3
Al (0.6667, 0.3333, 0.4348) x1
Al (0.6667, 0.3333, 0.9359) x1

=====

# 8
# TbPu2Al

A relaxed structure of TbPu2Al (PBE, the Alexandria database).

Energy of formation from the pure elements, eV/atom: 0.1404

Lattice parameters (Å, degrees): 7.415 7.415 7.415 90.00 90.00 90.00
Space group Fm-3m (No. 225)
One atom of each set of equivalent atoms:
Tb (0.000, 0.000, 0.000) x4
Pu (0.250, 0.250, 0.250) x8
Al (0.000, 0.000, 0.500) x4

=====

# 9
# TbPu3Al8

A relaxed structure of TbPu3Al8 (PBE, the Alexandria database).

Energy of formation from the pure elements, eV/atom: -0.3705

Lattice parameters (Å, degrees): 5.5946 5.5946 8.7834 90.00 90.00 120.00
Space group P3m1 (No. 156)
One atom of each set of equivalent atoms:
Tb (0.0000, 0.0000, 0.0000) x1
Pu (0.0000, 0.0000, 0.3609) x1
Pu (0.6667, 0.3333, 0.5177) x1
Pu (0.6667, 0.3333, 0.8296) x1
Al (0.1609, 0.3218, 0.6781) x3
Al (0.3333, 0.6667, 0.4264) x1
Al (0.3333, 0.6667, 0.9239) x1
Al (0.5060, 0.0121, 0.1764) x3

=====

# 10
# TbPu2Al

A relaxed structure of TbPu2Al (PBE, the Alexandria database).

Energy of formation from the pure elements, eV/atom: -0.0782

Lattice parameters (Å, degrees): 4.458 4.458 4.993 90.00 90.00 90.00
Space group P4/mmm (No. 123)
One atom of each set of equivalent atoms:
Tb (0.000, 0.000, 0.000) x1
Pu (0.000, 0.500, 0.500) x2
Al (0.500, 0.500, 0.000) x1

=====

# 11
# TbPu2Al

A relaxed structure of TbPu2Al (PBE, the Alexandria database).

Energy of formation from the pure elements, eV/atom: 0.0632

Lattice parameters (Å, degrees): 3.965 3.965 6.515 90.00 90.00 90.00
Space group P4/mmm (No. 123)
One atom of each set of equivalent atoms:
Tb (0.000, 0.000, 0.000) x1
Pu (0.500, 0.500, 0.278) x2
Al (0.000, 0.000, 0.500) x1

=====

# 12
# TbPuAl

A relaxed structure of TbPuAl (PBE, the Alexandria database).

Energy of formation from the pure elements, eV/atom: -0.0818

Lattice parameters (Å, degrees): 3.301 3.301 13.815 90.00 90.00 90.00
Space group I4mm (No. 107)
One atom of each set of equivalent atoms:
Tb (0.000, 0.000, 0.000) x2
Pu (0.000, 0.000, 0.697) x2
Al (0.000, 0.000, 0.348) x2